VASP calculation (PBE-GGA) on a geometry-optimized AgSn2Pd2 structure.

Computed properties:
E above lowest polymorph   6.2 kJ/mol of atoms

Unit cell a=7.4883 b=7.4883 c=3.4767 alpha=90.00 beta=90.00 gamma=90.00
Atoms (fractional coordinates):
1 Pd 0.3630 0.8630 0.0000
2 Pd 0.8630 0.6370 0.0000
3 Pd 0.6370 0.1370 0.0000
4 Pd 0.1370 0.3630 0.0000
5 Sn 0.1622 0.6622 0.5000
6 Sn 0.6622 0.8378 0.5000
7 Sn 0.8378 0.3378 0.5000
8 Sn 0.3378 0.1622 0.5000
9 Ag 0.0000 0.0000 0.0000
10 Ag 0.5000 0.5000 0.0000